This record from the Alexandria database describes a relaxed Mg2Zn2Hg crystal. The functional is PBE-GGA.

Output
VASP energy	-1.284	eV/atom
calculated volume	19.46	Å³/atom

The structure in POSCAR format:
```
Mg2Zn2Hg
1.0
-5.2574 4.6529 0.5062
-3.7363 -3.7138 -4.6683
-1.5726 -2.0952 2.9254
Mg Zn Hg
4 4 2
direct
0.1683 0.6683 0.5000 Mg
0.6683 0.8317 0.5000 Mg
0.8317 0.3317 0.5000 Mg
0.3317 0.1683 0.5000 Mg
0.3726 0.8726 0.0000 Zn
0.8726 0.6274 0.0000 Zn
0.6274 0.1274 0.0000 Zn
0.1274 0.3726 0.0000 Zn
0.0000 0.0000 0.0000 Hg
0.5000 0.5000 0.0000 Hg
```

This record from the Alexandria database describes a relaxed Mg6ZnHg2 crystal. The functional is PBE-GGA.

Output
VASP energy	-1.428	eV/atom
calculated volume	21.26	Å³/atom

The structure in POSCAR format:
```
Mg6ZnHg2
1.0
3.6017 0.0000 0.0000
0.0000 7.8333 0.0000
0.0000 -3.9166 6.7833
Mg Zn Hg
6 1 2
direct
0.5000 0.6157 0.0000 Mg
0.5000 0.3843 0.3843 Mg
0.5000 0.0000 0.6157 Mg
0.0000 0.2632 0.0000 Mg
0.0000 0.7368 0.7368 Mg
0.0000 0.0000 0.2632 Mg
0.5000 0.0000 0.0000 Zn
0.0000 0.3333 0.6667 Hg
0.0000 0.6667 0.3333 Hg
```